Record 1
Computed, not measured: an optimized crystal structure of KZnSF at the PBE level of DFT.

Size of the total moment in μB per formula unit: 0.00
D(E_F) in states/eV per atom: 0.0000
ΔE_f (raw) in eV/atom: -1.7324

Cell lengths 3.9330, 3.9330, 12.6776 Å; angles 90.00, 90.00, 120.00 degrees
Space group P6_3mc (No. 186)
Asymmetric unit:
K1 0.3333 0.6667 0.0000 x2
Zn1 0.0000 0.0000 0.2508 x2
S1 0.3333 0.6667 0.3044 x2
F1 0.0000 0.0000 0.0926 x2

Record 2
Computed, not measured: an optimized crystal structure of KZrS2F at the PBE level of DFT.

Size of the total moment in μB per formula unit: 0.00
D(E_F) in states/eV per atom: 0.0000
ΔE_f (raw) in eV/atom: -2.1083

Cell lengths 7.735, 3.747, 8.714 Å; angles 90.00, 107.87, 90.00 degrees
Space group P2_1/m (No. 11)
Asymmetric unit:
K1 0.202 0.250 0.302 x2
Zr1 0.328 0.250 0.823 x2
S1 0.321 0.750 0.035 x2
S2 0.347 0.750 0.634 x2
F1 0.051 0.250 0.760 x2

Record 3
Computed, not measured: an optimized crystal structure of KZrS2F at the PBE level of DFT.

Size of the total moment in μB per formula unit: 0.00
D(E_F) in states/eV per atom: 0.0305
ΔE_f (raw) in eV/atom: -1.9995

Cell lengths 5.077, 5.077, 4.297 Å; angles 90.00, 90.00, 90.00 degrees
Space group P4/mmm (No. 123)
Asymmetric unit:
K1 0.000 0.000 0.000 x1
Zr1 0.500 0.500 0.500 x1
S1 0.000 0.500 0.500 x2
F1 0.500 0.500 0.000 x1

Record 4
Computed, not measured: an optimized crystal structure of K5SbF8 at the PBE level of DFT.

Size of the total moment in μB per formula unit: 0.00
D(E_F) in states/eV per atom: 0.0000
ΔE_f (raw) in eV/atom: -2.6181

Cell lengths 7.804, 7.804, 7.816 Å; angles 90.00, 90.00, 90.00 degrees
Space group I-4 (No. 82)
Asymmetric unit:
K1 0.000 0.000 0.000 x2
K2 0.119 0.252 0.637 x8
Sb1 0.000 0.500 0.250 x2
F1 0.062 0.337 0.986 x8
F2 0.068 0.218 0.309 x8

Record 5
Computed, not measured: an optimized crystal structure of KSbF2 at the PBE level of DFT.

Size of the total moment in μB per formula unit: 0.00
D(E_F) in states/eV per atom: 0.4112
ΔE_f (raw) in eV/atom: -1.2322

Cell lengths 6.743, 6.743, 6.743 Å; angles 90.00, 90.00, 90.00 degrees
Space group Fm-3m (No. 225)
Asymmetric unit:
K1 0.000 0.000 0.000 x4
Sb1 0.000 0.000 0.500 x4
F1 0.250 0.250 0.250 x8

Record 6
Computed, not measured: an optimized crystal structure of KSb3F at the PBE level of DFT.

Size of the total moment in μB per formula unit: 1.05
D(E_F) in states/eV per atom: 1.3427
ΔE_f (raw) in eV/atom: 1.0909

Cell lengths 5.920, 5.920, 5.920 Å; angles 90.00, 90.00, 90.00 degrees
Space group Pm-3m (No. 221)
Asymmetric unit:
K1 0.000 0.000 0.000 x1
Sb1 0.000 0.000 0.500 x3
F1 0.500 0.500 0.500 x1

Record 7
Computed, not measured: an optimized crystal structure of K2SbF6 at the PBE level of DFT.

Size of the total moment in μB per formula unit: 0.88
D(E_F) in states/eV per atom: 0.3121
ΔE_f (raw) in eV/atom: -2.5703

Cell lengths 6.438, 7.922, 7.691 Å; angles 90.00, 118.44, 90.00 degrees
Space group P2_1/c (No. 14)
Asymmetric unit:
K1 0.175 0.041 0.309 x4
Sb1 0.500 0.000 0.000 x2
F1 0.208 0.141 0.957 x4
F2 0.276 0.704 0.419 x4
F3 0.417 0.032 0.709 x4

Record 8
Computed, not measured: an optimized crystal structure of KSbF5 at the PBE level of DFT.

Size of the total moment in μB per formula unit: 0.00
D(E_F) in states/eV per atom: 0.0000
ΔE_f (raw) in eV/atom: -2.5677

Cell lengths 6.000, 6.024, 9.284 Å; angles 105.23, 102.30, 105.16 degrees
Space group P1 (No. 1)
Asymmetric unit:
K1 0.000 0.000 0.000 x1
K2 0.025 0.557 0.579 x1
Sb1 0.504 0.783 0.285 x1
Sb2 0.529 0.314 0.843 x1
F1 0.252 0.994 0.803 x1
F2 0.267 0.488 0.128 x1
F3 0.282 0.955 0.245 x1
F4 0.342 0.301 0.639 x1
F5 0.371 0.700 0.441 x1
F6 0.630 0.858 0.121 x1
F7 0.700 0.085 0.783 x1
F8 0.724 0.608 0.319 x1
F9 0.742 0.079 0.434 x1
F10 0.813 0.551 0.805 x1

Q: Look up the size of the total moment of the eighth one.
A: 0.00 μB per formula unit